# PBE GaTe2PbN, relaxed
# Energy ... -0.142 hartree per atom
# E above lowest polymorph ... 0.0 kJ/mol of atoms
data_GaTe2PbN
_space_group_name_H-M_alt 'P 4/m m m'
_space_group_IT_number 123
_space_group_name_Hall '-P 4 2'
_cell_length_a 5.9394
_cell_length_b 5.9394
_cell_length_c 3.6689
_cell_angle_alpha 90.00
_cell_angle_beta 90.00
_cell_angle_gamma 90.00
loop_
_atom_site_label
_atom_site_type_symbol
_atom_site_fract_x
_atom_site_fract_y
_atom_site_fract_z
Ga1 Ga 0.0000 0.0000 0.0000
Te1 Te 0.0000 0.5000 0.0000
Pb1 Pb 0.5000 0.5000 0.5000
N1 N 0.0000 0.0000 0.5000

---

# PBE GaTe2PbN, relaxed
# Energy ... -0.122 hartree per atom
# E above lowest polymorph ... 52.3 kJ/mol of atoms
data_GaTe2PbN
_space_group_name_H-M_alt 'P 4/m m m'
_space_group_IT_number 123
_space_group_name_Hall '-P 4 2'
_cell_length_a 5.9853
_cell_length_b 5.9853
_cell_length_c 4.4374
_cell_angle_alpha 90.00
_cell_angle_beta 90.00
_cell_angle_gamma 90.00
loop_
_atom_site_label
_atom_site_type_symbol
_atom_site_fract_x
_atom_site_fract_y
_atom_site_fract_z
Ga1 Ga 0.0000 0.0000 0.0000
Te1 Te 0.0000 0.5000 0.5000
Pb1 Pb 0.5000 0.5000 0.5000
N1 N 0.5000 0.5000 0.0000

---

# PBE Tm4GaPbN, relaxed
# Energy ... -0.204 hartree per atom
data_Tm4GaPbN
_space_group_name_H-M_alt 'C m c m'
_space_group_IT_number 63
_space_group_name_Hall '-C 2c 2'
_cell_length_a 6.5025
_cell_length_b 15.6137
_cell_length_c 6.5091
_cell_angle_alpha 90.00
_cell_angle_beta 90.00
_cell_angle_gamma 90.00
loop_
_atom_site_label
_atom_site_type_symbol
_atom_site_fract_x
_atom_site_fract_y
_atom_site_fract_z
Tm1 Tm 0.0000 0.0812 0.2500
Tm2 Tm 0.0000 0.4070 0.2500
Tm3 Tm 0.2500 0.2500 0.0000
Ga1 Ga 0.0000 0.1155 0.7500
Pb1 Pb 0.0000 0.3951 0.7500
N1 N 0.0000 0.2521 0.2500

---

# PBE YGa2PbN, relaxed
# Energy ... -0.188 hartree per atom
data_YGa2PbN
_space_group_name_H-M_alt 'P 4/m m m'
_space_group_IT_number 123
_space_group_name_Hall '-P 4 2'
_cell_length_a 4.6133
_cell_length_b 4.6133
_cell_length_c 4.6658
_cell_angle_alpha 90.00
_cell_angle_beta 90.00
_cell_angle_gamma 90.00
loop_
_atom_site_label
_atom_site_type_symbol
_atom_site_fract_x
_atom_site_fract_y
_atom_site_fract_z
Y1 Y 0.0000 0.0000 0.0000
Ga1 Ga 0.0000 0.5000 0.5000
Pb1 Pb 0.5000 0.5000 0.0000
N1 N 0.0000 0.0000 0.5000

---

# PBE ZrGaPb2N, relaxed
# Energy ... -0.178 hartree per atom
data_ZrGaPb2N
_space_group_name_H-M_alt 'P 4/m m m'
_space_group_IT_number 123
_space_group_name_Hall '-P 4 2'
_cell_length_a 5.9000
_cell_length_b 5.9000
_cell_length_c 3.4236
_cell_angle_alpha 90.00
_cell_angle_beta 90.00
_cell_angle_gamma 90.00
loop_
_atom_site_label
_atom_site_type_symbol
_atom_site_fract_x
_atom_site_fract_y
_atom_site_fract_z
Zr1 Zr 0.0000 0.0000 0.0000
Ga1 Ga 0.5000 0.5000 0.5000
Pb1 Pb 0.0000 0.5000 0.5000
N1 N 0.5000 0.5000 0.0000

---

# PBE Ga3PdN, relaxed
# Energy ... -0.155 hartree per atom
# E above lowest polymorph ... 0.0 kJ/mol of atoms
data_Ga3PdN
_space_group_name_H-M_alt 'P m -3 m'
_space_group_IT_number 221
_space_group_name_Hall '-P 4 2 3'
_cell_length_a 4.2277
_cell_length_b 4.2277
_cell_length_c 4.2277
_cell_angle_alpha 90.00
_cell_angle_beta 90.00
_cell_angle_gamma 90.00
loop_
_atom_site_label
_atom_site_type_symbol
_atom_site_fract_x
_atom_site_fract_y
_atom_site_fract_z
Ga1 Ga 0.0000 0.0000 0.5000
Pd1 Pd 0.5000 0.5000 0.5000
N1 N 0.0000 0.0000 0.0000

---

# PBE GaPd2N, relaxed
# Energy ... -0.188 hartree per atom
# E above lowest polymorph ... 0.0 kJ/mol of atoms
data_GaPd2N
_space_group_name_H-M_alt 'I -4 2 d'
_space_group_IT_number 122
_space_group_name_Hall 'I -4 2bw'
_cell_length_a 4.8772
_cell_length_b 4.8772
_cell_length_c 11.4925
_cell_angle_alpha 90.00
_cell_angle_beta 90.00
_cell_angle_gamma 90.00
loop_
_atom_site_label
_atom_site_type_symbol
_atom_site_fract_x
_atom_site_fract_y
_atom_site_fract_z
Ga1 Ga 0.0000 0.0000 0.0000
Pd1 Pd 0.1448 0.2500 0.6250
N1 N 0.0000 0.0000 0.5000

---

# PBE GaPd2N, relaxed
# Energy ... -0.177 hartree per atom
# E above lowest polymorph ... 29.4 kJ/mol of atoms
data_GaPd2N
_space_group_name_H-M_alt 'F m -3 m'
_space_group_IT_number 225
_space_group_name_Hall '-F 4 2 3'
_cell_length_a 5.9747
_cell_length_b 5.9747
_cell_length_c 5.9747
_cell_angle_alpha 90.00
_cell_angle_beta 90.00
_cell_angle_gamma 90.00
loop_
_atom_site_label
_atom_site_type_symbol
_atom_site_fract_x
_atom_site_fract_y
_atom_site_fract_z
Ga1 Ga 0.0000 0.0000 0.0000
Pd1 Pd 0.2500 0.2500 0.2500
N1 N 0.0000 0.0000 0.5000

---

# PBE Ga3PdN, relaxed
# Energy ... -0.137 hartree per atom
# E above lowest polymorph ... 47.6 kJ/mol of atoms
data_Ga3PdN
_space_group_name_H-M_alt 'P m -3 m'
_space_group_IT_number 221
_space_group_name_Hall '-P 4 2 3'
_cell_length_a 4.7928
_cell_length_b 4.7928
_cell_length_c 4.7928
_cell_angle_alpha 90.00
_cell_angle_beta 90.00
_cell_angle_gamma 90.00
loop_
_atom_site_label
_atom_site_type_symbol
_atom_site_fract_x
_atom_site_fract_y
_atom_site_fract_z
Ga1 Ga 0.0000 0.0000 0.5000
Pd1 Pd 0.0000 0.0000 0.0000
N1 N 0.5000 0.5000 0.5000

---

# PBE GaPdN, relaxed
# Energy ... -0.193 hartree per atom
data_GaPdN
_space_group_name_H-M_alt 'I 4/m m m'
_space_group_IT_number 139
_space_group_name_Hall '-I 4 2'
_cell_length_a 2.8643
_cell_length_b 2.8643
_cell_length_c 21.1845
_cell_angle_alpha 90.00
_cell_angle_beta 90.00
_cell_angle_gamma 90.00
loop_
_atom_site_label
_atom_site_type_symbol
_atom_site_fract_x
_atom_site_fract_y
_atom_site_fract_z
Ga1 Ga 0.0000 0.0000 0.1051
Pd1 Pd 0.0000 0.0000 0.2973
N1 N 0.0000 0.0000 0.4045

---

# PBE PmGaPdN, relaxed
# Energy ... -0.229 hartree per atom
data_PmGaPdN
_space_group_name_H-M_alt 'P 4/n m m'
_space_group_IT_number 129
_cell_length_a 3.8711
_cell_length_b 3.8711
_cell_length_c 9.1728
_cell_angle_alpha 90.00
_cell_angle_beta 90.00
_cell_angle_gamma 90.00
loop_
_space_group_symop_operation_xyz
'x,y,z'
'-x,-y,-z'
'-y+1/2,x,z'
'y+1/2,-x,-z'
'-x+1/2,-y+1/2,z'
'x+1/2,y+1/2,-z'
'y,-x+1/2,z'
'-y,x+1/2,-z'
'x+1/2,-y,-z'
'-x+1/2,y,z'
'-y,-x,-z'
'y,x,z'
'-x,y+1/2,-z'
'x,-y+1/2,z'
'y+1/2,x+1/2,-z'
'-y+1/2,-x+1/2,z'
loop_
_atom_site_label
_atom_site_type_symbol
_atom_site_fract_x
_atom_site_fract_y
_atom_site_fract_z
Pm1 Pm 0.2500 0.2500 0.1355
Ga1 Ga 0.2500 0.2500 0.6727
Pd1 Pd 0.2500 0.7500 0.5000
N1 N 0.2500 0.2500 0.8854

---

# PBE PrGaPdN, relaxed
# Energy ... -0.228 hartree per atom
data_PrGaPdN
_space_group_name_H-M_alt 'P 4/n m m'
_space_group_IT_number 129
_cell_length_a 3.9189
_cell_length_b 3.9189
_cell_length_c 9.1832
_cell_angle_alpha 90.00
_cell_angle_beta 90.00
_cell_angle_gamma 90.00
loop_
_space_group_symop_operation_xyz
'x,y,z'
'-x,-y,-z'
'-y+1/2,x,z'
'y+1/2,-x,-z'
'-x+1/2,-y+1/2,z'
'x+1/2,y+1/2,-z'
'y,-x+1/2,z'
'-y,x+1/2,-z'
'x+1/2,-y,-z'
'-x+1/2,y,z'
'-y,-x,-z'
'y,x,z'
'-x,y+1/2,-z'
'x,-y+1/2,z'
'y+1/2,x+1/2,-z'
'-y+1/2,-x+1/2,z'
loop_
_atom_site_label
_atom_site_type_symbol
_atom_site_fract_x
_atom_site_fract_y
_atom_site_fract_z
Pr1 Pr 0.2500 0.2500 0.1383
Ga1 Ga 0.2500 0.2500 0.6702
Pd1 Pd 0.2500 0.7500 0.5000
N1 N 0.2500 0.2500 0.8829

---

| no. | magnetic moment (Bohr magnetons per cell) |
| --- | --- |
| 1 | 0.73 |
| 2 | 2.14 |
| 3 | 0.00 |
| 4 | 0.00 |
| 5 | 0.00 |
| 6 | 0.00 |
| 7 | 0.00 |
| 8 | 5.57 |
| 9 | 1.96 |
| 10 | 0.00 |
| 11 | 0.00 |
| 12 | 0.00 |